Run w
The following is a DFT calculation (GGA-PBE) of an optimized crystal structure of Ba2SrNi.

Properties
DOS(E_F)   5.31 states/eV/f.u.

Cell: 5.0807 5.4024 5.7808 Å, 90.00 90.00 90.00°
Last column: nearest neighbours and their distance in Å.
Space group Pmmm (No. 47)
Unique sites:
Ba1 0.0000 0.0000 0.0000 [1 per cell]  4 Ni 3.71, 4 Sr 3.85, 4 Ba 3.96
Ba2 0.0000 0.5000 0.5000 [1 per cell]  4 Sr 3.71, 4 Ni 3.85, 4 Ba 3.96
Sr1 0.5000 0.0000 0.5000 [1 per cell]  8 Ba 3.71-3.85, 4 Ni 3.96
Ni1 0.5000 0.5000 0.0000 [1 per cell]  8 Ba 3.71-3.85, 4 Sr 3.96


Run x
The following is a DFT calculation (GGA-PBE) of an optimized crystal structure of Ba2SrNi.

Properties
DOS(E_F)   1.82 states/eV/f.u.

Cell: 7.7910 7.2685 15.2540 Å, 90.00 120.68 90.00°
Last column: nearest neighbours and their distance in Å.
Space group P2_1/c (No. 14)
Unique sites:
Ba1 0.0024 0.2326 0.0802 [4 per cell]  2 Ni 3.07-3.10
Ba2 0.3424 0.2333 0.9203 [4 per cell]  2 Ni 3.07-3.10
Sr1 0.3526 0.7490 0.2498 [4 per cell]  2 Ni 3.01
Ni1 0.3392 0.5006 0.5892 [4 per cell]  2 Sr 3.01, 4 Ba 3.07-3.10


Run y
The following is a DFT calculation (GGA-PBE) of an optimized crystal structure of Ba2SrNi.

Properties
DOS(E_F)   7.18 states/eV/f.u.

Cell: 8.6026 8.6026 8.6026 Å, 90.00 90.00 90.00°
Last column: nearest neighbours and their distance in Å.
Space group Fm-3m (No. 225)
Unique sites:
Ba1 0.2500 0.2500 0.2500 [8 per cell]  4 Ni 3.73, 4 Sr 3.73
Sr1 0.0000 0.0000 0.0000 [4 per cell]  8 Ba 3.73
Ni1 0.0000 0.0000 0.5000 [4 per cell]  8 Ba 3.73


Run z
The following is a DFT calculation (GGA-PBE) of an optimized crystal structure of Ba2SrNi.

Properties
DOS(E_F)   5.05 states/eV/f.u.

Cell: 5.5555 5.6519 10.7113 Å, 90.00 90.00 90.00°
Last column: nearest neighbours and their distance in Å.
Space group Cmmm (No. 65)
Unique sites:
Ba1 0.0000 0.0000 0.1685 [4 per cell]  4 Ni 3.31-3.35, 1 Ba 3.61
Sr1 0.0000 0.5000 0.5000 [2 per cell]  4 Sr 3.96
Ni1 0.0000 0.5000 0.0000 [2 per cell]  8 Ba 3.31-3.35


Sorted by energy, starting with the most stable: run x, run z, run w, run y.


Run w
The following is a DFT calculation (GGA-PBE) of an optimized crystal structure of Ba2SrNi.

Properties
DOS(E_F)   4.16 states/eV/f.u.

Cell: 3.9282 3.9282 10.8096 Å, 90.00 90.00 90.00°
Last column: nearest neighbours and their distance in Å.
Space group P4mm (No. 99)
Unique sites:
Ba1 0.0000 0.0000 0.0000 [1 per cell]  4 Ba 3.93
Ba2 0.5000 0.5000 0.3462 [1 per cell]  4 Ni 3.32, 1 Sr 3.55
Sr1 0.5000 0.5000 0.6746 [1 per cell]  4 Ni 3.27, 1 Ba 3.55
Ni1 0.0000 0.0000 0.5152 [1 per cell]  4 Sr 3.27, 4 Ba 3.32


Run x
The following is a DFT calculation (GGA-PBE) of an optimized crystal structure of Ba2SrNi.

Properties
DOS(E_F)   3.93 states/eV/f.u.

Cell: 5.0980 5.0980 12.2566 Å, 90.00 90.00 90.00°
Last column: nearest neighbours and their distance in Å.
Space group I-4m2 (No. 119)
Unique sites:
Ba1 0.0000 0.0000 0.0000 [2 per cell]  4 Sr 3.60, 4 Ba 3.99, 4 Ni 3.99
Ba2 0.0000 0.5000 0.2500 [2 per cell]  4 Ni 3.60, 4 Ba 3.99, 4 Sr 3.99
Sr1 0.0000 0.0000 0.5000 [2 per cell]  8 Ba 3.60-3.99, 4 Ni 3.99
Ni1 0.0000 0.5000 0.7500 [2 per cell]  8 Ba 3.60-3.99, 4 Sr 3.99


Run y
The following is a DFT calculation (GGA-PBE) of an optimized crystal structure of Ba2SrNi.

Properties
DOS(E_F)   3.79 states/eV/f.u.

Cell: 13.7102 4.1157 7.3235 Å, 90.00 120.31 90.00°
Last column: nearest neighbours and their distance in Å.
Space group Cm (No. 8)
Unique sites:
Ba1 0.0000 0.0000 0.0000 [2 per cell]  2 Ni 3.10
Ba2 0.1683 0.0000 0.6475 [2 per cell]  2 Ni 3.13
Sr1 0.3280 0.5000 0.3079 [2 per cell]  2 Ni 3.10
Ni1 0.9996 0.5000 0.3161 [2 per cell]  4 Ba 3.10-3.13, 2 Sr 3.10


Run z
The following is a DFT calculation (GGA-PBE) of an optimized crystal structure of Ba2SrNi.

Properties
DOS(E_F)   2.88 states/eV/f.u.

Cell: 4.4302 4.4302 33.0434 Å, 90.00 90.00 120.00°
Last column: nearest neighbours and their distance in Å.
Space group R-3m (No. 166, hexagonal axes)
Unique sites:
Ba1 0.0000 0.0000 0.2190 [6 per cell]  3 Ni 3.09
Sr1 0.0000 0.0000 0.0000 [3 per cell]  6 Sr 4.43, 6 Ba 4.56
Ni1 0.0000 0.0000 0.5000 [3 per cell]  6 Ba 3.09


Sorted by energy, starting with the most stable: run z, run y, run w, run x.


Run w
The following is a DFT calculation (GGA-PBE) of an optimized crystal structure of Ba2SrNi.

Properties
DOS(E_F)   5.52 states/eV/f.u.

Cell: 8.4015 8.4015 8.4015 Å, 90.00 90.00 90.00°
Last column: nearest neighbours and their distance in Å.
Space group F-43m (No. 216)
Unique sites:
Ba1 0.0000 0.0000 0.0000 [4 per cell]  4 Sr 3.64, 4 Ba 3.64
Ba2 0.2500 0.2500 0.2500 [4 per cell]  4 Ba 3.64, 4 Ni 3.64
Sr1 0.2500 0.2500 0.7500 [4 per cell]  4 Ni 3.64, 4 Ba 3.64
Ni1 0.0000 0.0000 0.5000 [4 per cell]  4 Ba 3.64, 4 Sr 3.64


Run x
The following is a DFT calculation (GGA-PBE) of an optimized crystal structure of Ba2SrNi.

Properties
DOS(E_F)   3.58 states/eV/f.u.

Cell: 4.0329 6.3126 13.1774 Å, 90.00 90.00 90.00°
Last column: nearest neighbours and their distance in Å.
Space group Immm (No. 71)
Unique sites:
Ba1 0.0000 0.0000 0.1709 [4 per cell]  2 Ni 3.02
Sr1 0.0000 0.5000 0.0000 [2 per cell]  4 Ni 3.75, 4 Ba 3.88, 2 Sr 4.03
Ni1 0.0000 0.5000 0.5000 [2 per cell]  4 Ba 3.02


Sorted by energy, starting with the most stable: run x, run w.


Run w
The following is a DFT calculation (GGA-PBE) of an optimized crystal structure of Ba2SrNi.

Properties
DOS(E_F)   2.30 states/eV/f.u.

Cell: 6.1464 14.1273 4.4224 Å, 90.00 90.00 90.00°
Last column: nearest neighbours and their distance in Å.
Space group Cmmm (No. 65)
Unique sites:
Ba1 0.0000 0.1467 0.0000 [4 per cell]  2 Ni 3.03
Sr1 0.0000 0.5000 0.5000 [2 per cell]  2 Ni 3.07
Ni1 0.0000 0.0000 0.5000 [2 per cell]  4 Ba 3.03, 2 Sr 3.07


Run x
The following is a DFT calculation (GGA-PBE) of an optimized crystal structure of Ba2SrNi.

Properties
DOS(E_F)   4.85 states/eV/f.u.

Cell: 5.1576 5.1576 11.7938 Å, 90.00 90.00 90.00°
Last column: nearest neighbours and their distance in Å.
Space group I4/mmm (No. 139)
Unique sites:
Ba1 0.0000 0.5000 0.2500 [4 per cell]  4 Ba 3.65, 4 Ni 3.92, 4 Sr 3.92
Sr1 0.0000 0.0000 0.0000 [2 per cell]  4 Ni 3.65, 8 Ba 3.92
Ni1 0.0000 0.0000 0.5000 [2 per cell]  4 Sr 3.65, 8 Ba 3.92


Sorted by energy, starting with the most stable: run w, run x.


Run w
The following is a DFT calculation (GGA-PBE) of an optimized crystal structure of BaSrNi.

Properties
DOS(E_F)   1.11 states/eV/f.u.

Cell: 4.4001 4.4001 7.2089 Å, 90.00 90.00 120.00°
Last column: nearest neighbours and their distance in Å.
Space group P3m1 (No. 156)
Unique sites:
Ba1 0.0000 0.0000 0.0000 [1 per cell]  3 Ni 3.06
Sr1 0.3333 0.6667 0.4593 [1 per cell]  3 Ni 3.01
Ni1 0.6667 0.3333 0.2358 [1 per cell]  3 Sr 3.01, 3 Ba 3.06


Run x
The following is a DFT calculation (GGA-PBE) of an optimized crystal structure of BaSrNi.

Properties
DOS(E_F)   3.44 states/eV/f.u.

Cell: 16.2780 4.2668 7.0910 Å, 90.00 100.11 90.00°
Last column: nearest neighbours and their distance in Å.
Space group C2/m (No. 12)
Unique sites:
Ba1 0.0911 0.0000 0.2878 [4 per cell]  3 Ni 3.08-3.28
Sr1 0.1672 0.5000 0.7924 [4 per cell]  3 Ni 3.04-3.16
Ni1 0.2424 0.5000 0.4287 [4 per cell]  2 Ni 2.36


Run y
The following is a DFT calculation (GGA-PBE) of an optimized crystal structure of BaSrNi.

Properties
DOS(E_F)   3.52 states/eV/f.u.

Cell: 7.4850 4.2587 7.9492 Å, 90.00 98.43 90.00°
Last column: nearest neighbours and their distance in Å.
Space group P2_1/m (No. 11)
Unique sites:
Ba1 0.1684 0.2500 0.2873 [2 per cell]  3 Ni 3.09-3.31
Sr1 0.3605 0.2500 0.7845 [2 per cell]  3 Ni 2.98-3.14
Ni1 0.4430 0.7500 0.5157 [2 per cell]  2 Ni 2.32


Run z
The following is a DFT calculation (GGA-PBE) of an optimized crystal structure of BaSrNi.

Properties
DOS(E_F)   3.21 states/eV/f.u.

Cell: 8.7666 7.3207 7.7739 Å, 90.00 114.71 90.00°
Last column: nearest neighbours and their distance in Å.
Space group C2/m (No. 12)
Unique sites:
Ba1 0.1675 0.0000 0.4204 [4 per cell]  2 Ni 2.93-2.99
Sr1 0.2500 0.2500 0.0000 [4 per cell]  2 Ni 3.12
Ni1 0.0282 0.5000 0.6621 [4 per cell]  1 Ni 2.36


Sorted by energy, starting with the most stable: run x, run y, run w, run z.


Run w
The following is a DFT calculation (GGA-PBE) of an optimized crystal structure of BaSr2Ni.

Properties
DOS(E_F)   5.15 states/eV/f.u.

Cell: 8.2638 8.2638 8.2638 Å, 90.00 90.00 90.00°
Last column: nearest neighbours and their distance in Å.
Space group Fm-3m (No. 225)
Unique sites:
Ba1 0.0000 0.0000 0.0000 [4 per cell]  8 Sr 3.58
Sr1 0.2500 0.2500 0.2500 [8 per cell]  4 Ba 3.58, 4 Ni 3.58
Ni1 0.0000 0.0000 0.5000 [4 per cell]  8 Sr 3.58


Run x
The following is a DFT calculation (GGA-PBE) of an optimized crystal structure of BaSr2Ni.

Properties
DOS(E_F)   2.46 states/eV/f.u.

Cell: 4.2836 14.2301 10.5870 Å, 90.00 90.00 90.00°
Last column: nearest neighbours and their distance in Å.
Space group Cmcm (No. 63)
Unique sites:
Ba1 0.0000 0.0879 0.2500 [4 per cell]  2 Ni 3.10
Sr1 0.0000 0.3493 0.0738 [8 per cell]  2 Ni 3.20
Ni1 0.0000 0.2549 0.7500 [4 per cell]  2 Ba 3.10, 4 Sr 3.20


Sorted by energy, starting with the most stable: run x, run w.